[1]
DFT (GGA-PBE) results for Y2BiTe after structural relaxation.

Structure (POSCAR):
```
Y2BiTe
1.0
-6.6797 -1.6101 -1.0902
1.9398 -5.2481 -4.1346
-2.2346 -7.7320 2.9130
Y Te Bi
4 2 2
Cartesian
-4.4846 -3.5938 -0.4689 Y
-0.1876 -5.4159 -1.9932 Y
-3.4516 -8.3759 0.2215 Y
-5.8252 -11.7949 -2.3829 Y
-2.3700 -3.4291 -2.6124 Te
-1.3324 -8.2046 -1.9170 Te
0.0000 0.0000 0.0000 Bi
-5.6421 -6.3856 -0.3948 Bi
```

Computed properties:
Fermi-level density of states = 0.847 states/eV/atom
calculated total energy = -5.63 eV per atom
uncorrected formation energy = -62.1 kJ/mol of atoms
crystal system = tetragonal

[2]
DFT (GGA-PBE) results for Y2BiTe after structural relaxation.

Structure (POSCAR):
```
Y2BiTe
1.0
4.2877 0.0000 0.0000
0.0000 7.8169 0.0000
0.0000 0.0000 7.4026
Y Bi Te
4 2 2
Cartesian
0.0000 1.9633 2.4712 Y
0.0000 5.8536 4.9315 Y
2.1438 1.9452 6.1725 Y
2.1438 5.8717 1.2301 Y
2.1438 3.9084 3.7013 Bi
0.0000 0.0000 0.0000 Bi
0.0000 3.9084 0.0000 Te
2.1438 0.0000 3.7013 Te
```

Computed properties:
Fermi-level density of states = 0.536 states/eV/atom
calculated total energy = -6.01 eV per atom
uncorrected formation energy = -98.3 kJ/mol of atoms
crystal system = orthorhombic

[3]
DFT (GGA-PBE) results for Y5Bi4Te after structural relaxation.

Structure (POSCAR):
```
Y5Bi4Te
1.0
6.3099 0.0000 0.0000
3.1549 7.0497 0.0000
3.1549 0.0000 7.0497
Y Bi Te
5 4 1
Cartesian
9.4706 2.8353 5.6347 Y
6.3156 5.6347 4.2144 Y
6.3156 1.4150 2.8353 Y
3.1607 4.2144 1.4150 Y
3.1651 0.0000 0.0000 Y
6.3154 2.8156 5.6472 Bi
9.4703 5.6472 4.2341 Bi
3.1605 1.4025 2.8156 Bi
6.3154 4.2341 1.4025 Bi
0.0095 0.0000 0.0000 Te
```

Computed properties:
Fermi-level density of states = 0.269 states/eV/atom
calculated total energy = -6.10 eV per atom
uncorrected formation energy = -96.9 kJ/mol of atoms
crystal system = tetragonal

[4]
DFT (GGA-PBE) results for Y5Bi4Te after structural relaxation.

Structure (POSCAR):
```
Y5Bi4Te
1.0
4.3799 0.0000 -0.8450
-0.3250 6.0686 -1.6846
0.0064 0.0010 11.8070
Y Bi Te
5 4 1
Cartesian
2.6007 0.6129 1.7063 Y
3.4101 1.8209 5.9019 Y
0.6512 4.2487 3.3755 Y
-0.1625 3.0343 -0.8423 Y
1.4607 5.4567 7.5711 Y
1.6298 2.4323 8.4478 Bi
3.2499 4.8587 5.0715 Bi
0.8114 1.2110 4.2059 Bi
2.4315 3.6373 0.8296 Bi
0.0000 0.0000 0.0000 Te
```

Computed properties:
Fermi-level density of states = 0.356 states/eV/atom
calculated total energy = -6.10 eV per atom
uncorrected formation energy = -96.3 kJ/mol of atoms
crystal system = orthorhombic

[5]
DFT (GGA-PBE) results for YBi2Te4 after structural relaxation.

Structure (POSCAR):
```
YBi2Te4
1.0
4.1662 0.0000 0.0000
-2.0831 7.9231 0.0000
0.0000 0.0000 14.7880
Y Bi Te
2 4 8
Cartesian
2.0831 1.7974 11.0910 Y
0.0000 6.1257 3.6970 Y
0.0000 2.1191 6.3375 Bi
2.0831 5.8040 13.7315 Bi
0.0000 2.1191 1.0565 Bi
2.0831 5.8040 8.4505 Bi
2.0831 4.6474 1.8157 Te
2.0831 4.6474 5.5783 Te
0.0000 3.2758 12.9722 Te
0.0000 3.2758 9.2097 Te
2.0831 7.4790 11.0910 Te
0.0000 0.4441 3.6970 Te
2.0831 0.0000 0.0000 Te
2.0831 0.0000 7.3940 Te
```

Computed properties:
Fermi-level density of states = 0.433 states/eV/atom
calculated total energy = -4.33 eV per atom
uncorrected formation energy = -48.9 kJ/mol of atoms
crystal system = orthorhombic

[6]
DFT (GGA-PBE) results for Y6Bi5Te after structural relaxation.

Structure (POSCAR):
```
Y6Bi5Te
1.0
7.6419 0.1850 1.1602
1.8759 6.4805 3.7777
0.1283 0.0714 7.7268
Y Te Bi
6 1 5
Cartesian
5.9235 0.7053 3.7722 Y
3.0522 3.8384 5.0747 Y
2.3927 1.6741 1.2405 Y
7.1251 4.9914 3.6974 Y
6.5939 2.8985 7.5901 Y
3.7227 6.0316 8.8925 Y
0.0000 0.0000 0.0000 Te
4.2183 1.2169 6.3669 Bi
0.6678 2.1830 3.8366 Bi
4.7589 3.3327 2.4690 Bi
1.3364 4.3689 7.6679 Bi
5.4278 5.5199 6.2978 Bi
```

Computed properties:
Fermi-level density of states = 0.248 states/eV/atom
calculated total energy = -6.10 eV per atom
uncorrected formation energy = -95.4 kJ/mol of atoms
crystal system = monoclinic